Density functional theory data (GGA-PBE) for K3USb2Te6 after structural relaxation.

Geometry as POSCAR:
```
K3USb2Te6
1.0
3.946 -6.835 0.000
3.946 6.835 0.000
-2.627 0.000 8.241
K U Sb Te
3 1 2 6
direct
0.000 0.000 0.000
0.332 0.668 0.000
0.668 0.332 0.000
0.500 0.500 0.500
0.167 0.833 0.500
0.833 0.167 0.500
0.095 0.431 0.293
0.233 0.233 0.708
0.431 0.095 0.293
0.569 0.905 0.707
0.767 0.767 0.292
0.905 0.569 0.707
```

Output
For the density, the calculation gives 5.10 Mg/m³. The space group is C2/m. Its uncorrected formation energy is -0.624 eV/atom.